Entry 1:
GeTePdO | PBE | relaxed

Lattice parameters (Å, degrees): 5.887 8.600 6.240 90.00 90.00 90.00
Element x y z (fractional)
Ge (0.904, 0.181, 0.125)
Ge (0.404, 0.819, 0.125)
Ge (0.596, 0.181, 0.625)
Ge (0.096, 0.819, 0.625)
O (0.328, 0.015, 0.125)
O (0.828, 0.985, 0.125)
O (0.172, 0.015, 0.625)
O (0.672, 0.985, 0.625)
Pd (0.250, 0.194, 0.375)
Pd (0.750, 0.806, 0.375)
Pd (0.250, 0.194, 0.875)
Pd (0.750, 0.806, 0.875)
Te (0.499, 0.371, 0.125)
Te (0.999, 0.629, 0.125)
Te (0.001, 0.371, 0.625)
Te (0.501, 0.629, 0.625)

Calculated values
Energy above the lowest structure with this stoichiometry: 314 meV/atom

Entry 2:
KSrNdSe3 | PBE | relaxed

Lattice parameters (Å, degrees): 10.388 10.388 12.193 90.00 90.00 155.09
Element x y z (fractional)
K (0.125, 0.875, 0.250)
K (0.875, 0.125, 0.750)
Nd (0.500, 0.500, 0.000)
Nd (0.500, 0.500, 0.500)
Se (0.901, 0.099, 0.008)
Se (0.506, 0.494, 0.250)
Se (0.901, 0.099, 0.492)
Se (0.099, 0.901, 0.508)
Se (0.494, 0.506, 0.750)
Se (0.099, 0.901, 0.992)
Sr (0.909, 0.091, 0.250)
Sr (0.091, 0.909, 0.750)

Calculated values
Electronic total energy: -4.5971 eV per atom

Entry 3:
AgOsSeO | PBE | relaxed

Lattice parameters (Å, degrees): 4.784 5.265 11.082 88.89 90.00 90.00
Element x y z (fractional)
Ag (0.718, 0.920, 0.434)
Ag (0.212, 0.593, 0.442)
Ag (0.712, 0.407, 0.558)
Ag (0.218, 0.080, 0.566)
O (0.884, 0.619, 0.015)
O (0.893, 0.107, 0.041)
O (0.393, 0.893, 0.959)
O (0.384, 0.381, 0.985)
Os (0.282, 0.088, 0.108)
Os (0.668, 0.399, 0.123)
Os (0.168, 0.601, 0.877)
Os (0.782, 0.912, 0.892)
Se (0.449, 0.747, 0.229)
Se (0.994, 0.261, 0.278)
Se (0.494, 0.739, 0.722)
Se (0.949, 0.253, 0.771)

Calculated values
Energy above the lowest structure with this stoichiometry: 0 meV/atom

Entry 4:
TmScFe2Ge2C | PBE | relaxed

Lattice parameters (Å, degrees): 5.573 5.573 6.598 125.16 125.16 40.67
Element x y z (fractional)
C (0.998, 0.998, 0.992)
Fe (0.198, 0.198, 0.092)
Fe (0.801, 0.801, 0.907)
Ge (0.842, 0.842, 0.305)
Ge (0.159, 0.159, 0.700)
Sc (0.444, 0.444, 0.717)
Tm (0.558, 0.558, 0.287)

Calculated values
Electronic total energy: -7.1337 eV per atom

Entry 5:
TaGeOs2 | PBE | relaxed

Lattice parameters (Å, degrees): 4.448 4.448 4.448 60.00 60.00 60.00
Element x y z (fractional)
Ge (0.500, 0.500, 0.500)
Os (0.000, 0.000, 0.000)
Os (0.750, 0.750, 0.750)
Ta (0.250, 0.250, 0.250)

Calculated values
Electronic total energy: -9.3974 eV per atom

Entry 6:
Cu | PBE | relaxed

Lattice parameters (Å, degrees): 2.524 2.524 32.067 90.00 90.00 120.00
Element x y z (fractional)
Cu (0.333, 0.667, 0.240)
Cu (0.000, 0.000, 0.305)
Cu (0.667, 0.333, 0.370)
Cu (0.333, 0.667, 0.435)
Cu (0.000, 0.000, 0.500)
Cu (0.667, 0.333, 0.565)
Cu (0.333, 0.667, 0.630)
Cu (0.000, 0.000, 0.695)
Cu (0.667, 0.333, 0.760)

Calculated values
Energy above the lowest structure with this stoichiometry: 106 meV/atom

Entry 7:
DyBr2 | PBE | relaxed

Lattice parameters (Å, degrees): 6.241 6.241 6.241 60.00 60.00 60.00
Each line ends with the local moment (μB).
Element x y z (fractional)
Br (0.625, 0.625, 0.125)  -0.01
Br (0.625, 0.125, 0.625)  -0.02
Br (0.125, 0.625, 0.625)  -0.03
Br (0.625, 0.625, 0.625)  -0.01
Dy (0.000, 0.000, 0.000)  0.72
Dy (0.250, 0.250, 0.250)  0.72

Calculated values
Electronic total energy: -2.6746 eV per atom

Entry 8:
BeCu2Bi | PBE | relaxed

Lattice parameters (Å, degrees): 4.483 4.483 4.483 60.00 60.00 60.00
Element x y z (fractional)
Be (0.250, 0.250, 0.250)
Bi (0.500, 0.500, 0.500)
Cu (0.000, 0.000, 0.000)
Cu (0.750, 0.750, 0.750)

Calculated values
Energy above the lowest structure with this stoichiometry: 239 meV/atom

Entry 9:
SrLuCuSe3 | PBE | relaxed

Lattice parameters (Å, degrees): 7.956 4.034 9.650 90.00 105.69 90.00
Element x y z (fractional)
Cu (0.921, 0.750, 0.413)
Cu (0.079, 0.250, 0.587)
Lu (0.688, 0.250, 0.161)
Lu (0.312, 0.750, 0.839)
Se (0.433, 0.750, 0.144)
Se (0.928, 0.750, 0.158)
Se (0.750, 0.250, 0.459)
Se (0.250, 0.750, 0.541)
Se (0.072, 0.250, 0.842)
Se (0.567, 0.250, 0.856)
Sr (0.231, 0.250, 0.287)
Sr (0.769, 0.750, 0.713)

Calculated values
Energy above the lowest structure with this stoichiometry: 17 meV/atom

Entry 10:
GdMgZn | PBE | relaxed

Lattice parameters (Å, degrees): 6.314 6.346 8.170 86.20 88.88 60.55
Element x y z (fractional)
Gd (0.028, 0.568, 0.335)
Gd (0.251, 0.947, 0.363)
Gd (0.645, 0.127, 0.510)
Gd (0.158, 0.154, 0.746)
Mg (0.389, 0.210, 0.079)
Mg (0.893, 0.105, 0.079)
Mg (0.152, 0.662, 0.696)
Mg (0.760, 0.681, 0.949)
Zn (0.303, 0.707, 0.018)
Zn (0.620, 0.481, 0.256)
Zn (0.655, 0.638, 0.612)
Zn (0.597, 0.350, 0.821)

Calculated values
Electronic total energy: -2.5480 eV per atom

Entry 11:
NpGaPb | PBE | relaxed

Lattice parameters (Å, degrees): 4.822 4.822 4.822 60.00 60.00 60.00
Each line ends with the local moment (μB).
Element x y z (fractional)
Ga (0.000, 0.000, 0.000)  0.08
Np (0.250, 0.250, 0.250)  4.21
Pb (0.750, 0.750, 0.750)  0.00

Calculated values
Energy above the lowest structure with this stoichiometry: 0 meV/atom

Entry 12:
Li2HfNbN2O2 | PBE | relaxed

Lattice parameters (Å, degrees): 4.356 4.356 4.174 90.00 90.00 90.00
Element x y z (fractional)
Hf (0.000, 0.000, 0.000)
Li (0.000, 0.500, 0.498)
Li (0.500, 0.000, 0.502)
N (0.500, 0.000, 0.001)
N (0.000, 0.500, 0.999)
Nb (0.500, 0.500, 0.000)
O (0.000, 0.000, 0.500)
O (0.500, 0.500, 0.500)

Calculated values
Electronic total energy: -8.2311 eV per atom

Entry 13:
Sm2Zr2O5 | PBE | relaxed

Lattice parameters (Å, degrees): 10.257 3.647 3.647 90.00 90.00 90.00
Each line ends with the local moment (μB).
Element x y z (fractional)
O (0.124, 0.500, 0.000)  0.03
O (0.876, 0.500, 0.000)  0.03
O (0.124, 0.000, 0.500)  0.03
O (0.876, 0.000, 0.500)  0.03
O (0.500, 0.500, 0.500)  0.06
Sm (0.249, 0.500, 0.500)  0.19
Sm (0.751, 0.500, 0.500)  0.19
Zr (0.000, 0.000, 0.000)  0.01
Zr (0.500, 0.000, 0.000)  1.30

Calculated values
Energy above the lowest structure with this stoichiometry: 462 meV/atom

Entry 14:
Cu2Sn3Hg | PBE | relaxed

Lattice parameters (Å, degrees): 4.199 4.199 8.936 90.00 90.00 120.00
Element x y z (fractional)
Cu (0.667, 0.333, 0.134)
Cu (0.333, 0.667, 0.866)
Hg (0.000, 0.000, 0.500)
Sn (0.000, 0.000, 0.000)
Sn (0.333, 0.667, 0.272)
Sn (0.667, 0.333, 0.728)

Calculated values
Electronic total energy: -3.1885 eV per atom

Entry 15:
Er5Lu2Te2Ir2 | PBE | relaxed

Lattice parameters (Å, degrees): 9.292 9.292 9.292 155.76 66.33 119.32
Element x y z (fractional)
Er (0.683, 0.683, 0.000)
Er (0.396, 0.265, 0.132)
Er (0.369, 0.054, 0.315)
Er (0.739, 0.054, 0.685)
Er (0.133, 0.265, 0.868)
Ir (0.992, 0.755, 0.237)
Ir (0.518, 0.755, 0.763)
Lu (0.766, 0.413, 0.353)
Lu (0.060, 0.413, 0.647)
Te (0.019, 0.019, 0.000)
Te (0.418, 0.918, 0.500)

Calculated values
Energy above the lowest structure with this stoichiometry: 15 meV/atom

Entry 16:
MgSn2HgP4 | PBE | relaxed

Lattice parameters (Å, degrees): 7.196 7.196 7.196 131.20 131.20 71.50
Element x y z (fractional)
Hg (0.000, 0.000, 0.000)
Mg (0.750, 0.250, 0.500)
P (0.127, 0.620, 0.000)
P (0.873, 0.873, 0.492)
P (0.380, 0.381, 0.508)
P (0.619, 0.127, 0.000)
Sn (0.500, 0.500, 0.000)
Sn (0.250, 0.750, 0.500)

Calculated values
Electronic total energy: -4.0736 eV per atom

Entry 17:
AlCoW4C2 | PBE | relaxed

Lattice parameters (Å, degrees): 3.035 3.035 13.072 90.00 90.00 120.00
Element x y z (fractional)
Al (0.667, 0.333, 0.000)
C (0.333, 0.667, 0.259)
C (0.333, 0.667, 0.741)
Co (0.000, 0.000, 0.500)
W (0.000, 0.000, 0.169)
W (0.667, 0.333, 0.352)
W (0.667, 0.333, 0.648)
W (0.000, 0.000, 0.831)

Calculated values
Electronic total energy: -10.0132 eV per atom

Entry 18:
Pr3Si4Ni2Pt2 | PBE | relaxed

Lattice parameters (Å, degrees): 12.442 12.442 12.442 160.93 160.55 27.37
Element x y z (fractional)
Ni (0.096, 0.096, 0.000)
Ni (0.904, 0.904, 0.000)
Pr (0.357, 0.357, 0.000)
Pr (0.643, 0.643, 0.000)
Pr (0.500, 0.000, 0.500)
Pt (0.748, 0.248, 0.500)
Pt (0.252, 0.752, 0.500)
Si (0.192, 0.192, 0.000)
Si (0.808, 0.808, 0.000)
Si (0.949, 0.449, 0.500)
Si (0.051, 0.551, 0.500)

Calculated values
Electronic total energy: -6.2713 eV per atom

Entry 19:
Ba2TeIr | PBE | relaxed

Lattice parameters (Å, degrees): 6.779 4.758 9.542 90.00 102.97 90.00
Element x y z (fractional)
Ba (0.310, 0.750, 0.184)
Ba (0.828, 0.250, 0.351)
Ba (0.172, 0.750, 0.649)
Ba (0.690, 0.250, 0.816)
Ir (0.447, 0.250, 0.481)
Ir (0.553, 0.750, 0.519)
Te (0.782, 0.750, 0.093)
Te (0.218, 0.250, 0.907)

Calculated values
Electronic total energy: -4.8147 eV per atom

Entry 20:
Cu5Ag4 | PBE | relaxed

Lattice parameters (Å, degrees): 12.817 12.817 12.817 167.58 163.20 20.95
Element x y z (fractional)
Ag (0.325, 0.325, 0.000)
Ag (0.454, 0.454, 0.000)
Ag (0.664, 0.664, 0.000)
Ag (0.890, 0.890, 0.000)
Cu (0.011, 0.011, 0.000)
Cu (0.108, 0.108, 0.000)
Cu (0.220, 0.220, 0.000)
Cu (0.559, 0.559, 0.000)
Cu (0.769, 0.769, 0.000)

Calculated values
Energy above the lowest structure with this stoichiometry: 46 meV/atom

Entry 21:
SrBeW | PBE | relaxed

Lattice parameters (Å, degrees): 4.568 4.568 4.568 60.00 60.00 60.00
Element x y z (fractional)
Be (0.000, 0.000, 0.000)
Sr (0.250, 0.250, 0.250)
W (0.750, 0.750, 0.750)

Calculated values
Energy above the lowest structure with this stoichiometry: 0 meV/atom

Entry 22:
ErMgAgSeS2 | PBE | relaxed

Lattice parameters (Å, degrees): 6.689 6.689 10.693 90.00 90.00 147.17
Element x y z (fractional)
Ag (0.518, 0.482, 0.250)
Ag (0.482, 0.518, 0.750)
Er (0.000, 0.000, 0.000)
Er (0.000, 0.000, 0.500)
Mg (0.220, 0.780, 0.250)
Mg (0.780, 0.220, 0.750)
S (0.640, 0.360, 0.071)
S (0.640, 0.360, 0.429)
S (0.360, 0.640, 0.571)
S (0.360, 0.640, 0.929)
Se (0.874, 0.126, 0.250)
Se (0.126, 0.874, 0.750)

Calculated values
Electronic total energy: -4.5765 eV per atom

Entry 23:
PmNi3Cl | PBE | relaxed

Lattice parameters (Å, degrees): 4.376 4.376 4.376 90.00 90.00 90.00
Element x y z (fractional)
Cl (0.000, 0.000, 0.000)
Ni (0.500, 0.000, 0.000)
Ni (0.000, 0.500, 0.000)
Ni (0.000, 0.000, 0.500)
Pm (0.500, 0.500, 0.500)

Calculated values
Electronic total energy: -4.4500 eV per atom

Entry 24:
SmZnCu | PBE | relaxed

Lattice parameters (Å, degrees): 5.598 5.598 5.598 133.53 95.34 102.60
Element x y z (fractional)
Cu (0.618, 0.952, 0.166)
Cu (0.786, 0.452, 0.834)
Sm (0.212, 0.248, 0.463)
Sm (0.785, 0.748, 0.537)
Zn (0.214, 0.550, 0.164)
Zn (0.386, 0.050, 0.836)

Calculated values
Electronic total energy: -3.5194 eV per atom